Entry from the Alexandria database: a geometry-optimized LiYMgBr6 structure (GGA-PBE).

abc: 6.9400 6.9400 12.7310
angles: 90.00 90.00 120.00
Last column: nearest neighbours and their distance in Å.
Fractional coordinates of all 18 atoms:
Li 0.0000 0.0000 0.0000  6 Br 2.89
Li 0.0000 0.0000 0.5000  6 Br 2.89
Y 0.3333 0.6667 0.2500  6 Br 2.81
Y 0.6667 0.3333 0.7500  6 Br 2.81
Mg 0.3333 0.6667 0.7500  6 Br 2.71
Mg 0.6667 0.3333 0.2500  6 Br 2.71
Br 0.0121 0.3501 0.6275  1 Mg 2.71, 1 Y 2.81, 1 Li 2.89
Br 0.0121 0.6620 0.8725  1 Mg 2.71, 1 Y 2.81, 1 Li 2.89
Br 0.3380 0.3501 0.8725  1 Mg 2.71, 1 Y 2.81, 1 Li 2.89
Br 0.3380 0.9879 0.6275  1 Mg 2.71, 1 Y 2.81, 1 Li 2.89
Br 0.3501 0.0121 0.1275  1 Mg 2.71, 1 Y 2.81, 1 Li 2.89
Br 0.3501 0.3380 0.3725  1 Mg 2.71, 1 Y 2.81, 1 Li 2.89
Br 0.6499 0.6620 0.6275  1 Mg 2.71, 1 Y 2.81, 1 Li 2.89
Br 0.6499 0.9879 0.8725  1 Mg 2.71, 1 Y 2.81, 1 Li 2.89
Br 0.6620 0.0121 0.3725  1 Mg 2.71, 1 Y 2.81, 1 Li 2.89
Br 0.6620 0.6499 0.1275  1 Mg 2.71, 1 Y 2.81, 1 Li 2.89
Br 0.9879 0.3380 0.1275  1 Mg 2.71, 1 Y 2.81, 1 Li 2.89
Br 0.9879 0.6499 0.3725  1 Mg 2.71, 1 Y 2.81, 1 Li 2.89

- formation energy from raw total energies (eV/f.u.) = -14.69
- DFT total energy (eV for the cell shown) = -69.4
- magnetic moment (μB/cell) = 0.0